(1)
HfNb3N | GGA-PBE | relaxed

Unit cell a=4.892 b=4.892 c=4.892 alpha=90.00 beta=90.00 gamma=90.00
Space group Pm-3m (No. 221)
Asymmetric unit:
Hf: 0.000 0.000 0.000 x1
Nb: 0.000 0.000 0.500 x3
N: 0.500 0.500 0.500 x1

Output
Magnetization in μB per cell: 0.00
E_form (uncorrected) in eV/atom: 2.747
Volume in Å³/cell: 117
Total DFT energy (no corrections) in eV/atom: -6.95
Polymorph energy (0 for the lowest one) in meV/atom: 3231


(2)
Hf3NbN4 | GGA-PBE | relaxed

Unit cell a=3.1937 b=3.1937 c=31.2992 alpha=90.00 beta=90.00 gamma=120.00
Space group R-3m (No. 166, hexagonal axes)
Asymmetric unit:
Hf: 0.0000 0.0000 0.0000 x3
Hf: 0.0000 0.0000 0.2489 x6
Nb: 0.0000 0.0000 0.5000 x3
N: 0.0000 0.0000 0.1239 x6
N: 0.0000 0.0000 0.3761 x6

Output
Magnetization in μB per cell: 0.00
E_form (uncorrected) in eV/atom: -1.560
Volume in Å³/cell: 276
Total DFT energy (no corrections) in eV/atom: -10.71
Polymorph energy (0 for the lowest one) in meV/atom: 0


(3)
HfNb3N | GGA-PBE | relaxed

Unit cell a=4.354 b=4.354 c=4.354 alpha=90.00 beta=90.00 gamma=90.00
Space group Pm-3m (No. 221)
Asymmetric unit:
Hf: 0.000 0.000 0.000 x1
Nb: 0.000 0.500 0.500 x3
N: 0.500 0.500 0.500 x1

Output
Magnetization in μB per cell: 0.00
E_form (uncorrected) in eV/atom: -0.483
Volume in Å³/cell: 83
Total DFT energy (no corrections) in eV/atom: -10.18
Polymorph energy (0 for the lowest one) in meV/atom: 0


(4)
Hf6NbN | GGA-PBE | relaxed

Unit cell a=5.967 b=5.972 c=6.243 alpha=61.49 beta=61.57 gamma=60.03
Space group P-1 (No. 2)
Asymmetric unit:
Hf: 0.008 0.419 0.268 x2
Hf: 0.195 0.993 0.732 x2
Hf: 0.419 0.805 0.268 x2
Nb: 0.500 0.500 0.000 x1
N: 0.000 0.000 0.500 x1

Output
Magnetization in μB per cell: 0.00
E_form (uncorrected) in eV/atom: -0.171
Volume in Å³/cell: 161
Total DFT energy (no corrections) in eV/atom: -9.94


(5)
Hf4NbN5 | GGA-PBE | relaxed

Unit cell a=7.150 b=7.150 c=4.525 alpha=90.00 beta=90.00 gamma=90.00
Space group I4/m (No. 87)
Asymmetric unit:
Hf: 0.107 0.700 0.000 x8
Nb: 0.000 0.000 0.500 x2
N: 0.000 0.000 0.000 x2
N: 0.102 0.691 0.500 x8

Output
Magnetization in μB per cell: 0.00
E_form (uncorrected) in eV/atom: -1.612
Volume in Å³/cell: 231
Total DFT energy (no corrections) in eV/atom: -10.76


(6)
Hf3NbN4 | GGA-PBE | relaxed

Unit cell a=6.960 b=5.924 c=5.650 alpha=90.00 beta=90.00 gamma=90.00
Space group Pmn2_1 (No. 31)
Asymmetric unit:
Hf: 0.000 0.141 0.000 x2
Hf: 0.230 0.351 0.512 x4
Nb: 0.000 0.782 0.474 x2
N: 0.000 0.142 0.628 x2
N: 0.000 0.806 0.114 x2
N: 0.239 0.293 0.146 x4

Output
Magnetization in μB per cell: 0.00
E_form (uncorrected) in eV/atom: -1.158
Volume in Å³/cell: 233
Total DFT energy (no corrections) in eV/atom: -10.31
Polymorph energy (0 for the lowest one) in meV/atom: 402